Below is a relaxed AcSb6Rh12 crystal, with properties calculated at the PBE level.

For the uncorrected energy, the calculation gives -6.51 eV/atom.

The space group is R-3m (No. 166, hexagonal axes) and the conventional cell measures 12.0662, 12.0662 and 8.5229 Å, with angles of 90.00, 90.00 and 120.00 degrees. The asymmetric unit holds Ac at (0.0000, 0.0000, 0.0000), Sb at (0.0418, 0.5209, 0.2566), Rh at (0.0000, 0.3765, 0.5000) and Rh at (0.0778, 0.1557, 0.3282).


Below is a relaxed AcSb2Rh crystal, with properties calculated at the PBE level.

For the uncorrected energy, the calculation gives -5.73 eV/atom. As for the energy relative to the lowest polymorph listed for this composition: 0.038 eV per atom.

The space group is P4/nmm (No. 129, origin choice 2) and the conventional cell measures 4.534, 4.534 and 10.622 Å, with angles of 90.00, 90.00 and 90.00 degrees. The asymmetric unit holds Ac at (0.250, 0.250, 0.249), Sb at (0.250, 0.250, 0.868), Sb at (0.250, 0.750, 0.500) and Rh at (0.250, 0.750, 0.000).


Below is a relaxed Ac2Sb5Rh3 crystal, with properties calculated at the PBE level.

For the uncorrected energy, the calculation gives -5.81 eV/atom.

The space group is Ibam (No. 72) and the conventional cell measures 10.925, 12.854 and 6.952 Å, with angles of 90.00, 90.00 and 90.00 degrees. The asymmetric unit holds Ac at (0.226, 0.141, 0.000), Sb at (0.000, 0.000, 0.250), Sb at (0.000, 0.272, 0.250), Sb at (0.159, 0.411, 0.000), Rh at (0.000, 0.500, 0.250) and Rh at (0.107, 0.143, 0.500).


Below is a relaxed AcSb3Rh crystal, with properties calculated at the PBE level.

For the uncorrected energy, the calculation gives -5.46 eV/atom. As for the energy relative to the lowest polymorph listed for this composition: 0.000 eV per atom.

The space group is Pbcm (No. 57) and the conventional cell measures 13.679, 6.331 and 6.216 Å, with angles of 90.00, 90.00 and 90.00 degrees. The asymmetric unit holds Ac at (0.196, 0.003, 0.250), Sb at (0.000, 0.250, 0.000), Sb at (0.295, 0.510, 0.250), Sb at (0.444, 0.601, 0.750) and Rh at (0.410, 0.250, 0.000).


Below is a relaxed Ac3Sb5Rh6 crystal, with properties calculated at the PBE level.

For the uncorrected energy, the calculation gives -6.30 eV/atom.

The space group is Pmmn (No. 59, origin choice 2) and the conventional cell measures 4.360, 13.002 and 11.430 Å, with angles of 90.00, 90.00 and 90.00 degrees. The asymmetric unit holds Ac at (0.250, 0.087, 0.230), Ac at (0.250, 0.750, 0.243), Sb at (0.250, 0.078, 0.635), Sb at (0.250, 0.617, 0.996), Sb at (0.250, 0.750, 0.624), Rh at (0.250, 0.062, 0.864), Rh at (0.250, 0.250, 0.509), Rh at (0.250, 0.250, 0.998) and Rh at (0.250, 0.583, 0.495).


Below is a relaxed Ac4SbRh2 crystal, with properties calculated at the PBE level.

For the uncorrected energy, the calculation gives -5.71 eV/atom.

The space group is Fdd2 (No. 43) and the conventional cell measures 13.928, 13.965 and 9.531 Å, with angles of 90.00, 90.00 and 90.00 degrees. The asymmetric unit holds Ac at (0.063, 0.382, 0.000), Ac at (0.119, 0.062, 0.165), Sb at (0.000, 0.000, 0.832) and Rh at (0.080, 0.330, 0.707).


Below is a relaxed AcSb3Rh crystal, with properties calculated at the PBE level.

For the uncorrected energy, the calculation gives -5.40 eV/atom. As for the energy relative to the lowest polymorph listed for this composition: 0.064 eV per atom.

The space group is Pmn2_1 (No. 31) and the conventional cell measures 6.783, 6.284 and 6.436 Å, with angles of 90.00, 90.00 and 90.00 degrees. The asymmetric unit holds Ac at (0.000, 0.137, 0.000), Sb at (0.000, 0.904, 0.536), Sb at (0.234, 0.338, 0.455) and Rh at (0.000, 0.611, 0.250).


Below is a relaxed Ac2Sb2Rh3 crystal, with properties calculated at the PBE level.

For the uncorrected energy, the calculation gives -6.22 eV/atom. As for the energy relative to the lowest polymorph listed for this composition: 0.104 eV per atom.

The space group is C2/m (No. 12) and the conventional cell measures 12.087, 4.042 and 7.538 Å, with angles of 90.00, 115.98 and 90.00 degrees. The asymmetric unit holds Ac at (0.121, 0.000, 0.269), Sb at (0.158, 0.000, 0.748), Rh at (0.000, 0.500, 0.500) and Rh at (0.107, 0.500, 0.932).


Below is a relaxed AcSb2Rh crystal, with properties calculated at the PBE level.

For the uncorrected energy, the calculation gives -5.09 eV/atom. As for the energy relative to the lowest polymorph listed for this composition: 0.682 eV per atom.

The space group is R-3m (No. 166, hexagonal axes) and the conventional cell measures 4.1454, 4.1454 and 26.8266 Å, with angles of 90.00, 90.00 and 120.00 degrees. The asymmetric unit holds Ac at (0.0000, 0.0000, 0.0000), Sb at (0.0000, 0.0000, 0.1233) and Rh at (0.0000, 0.0000, 0.5000).


Below is a relaxed AcSb2Rh crystal, with properties calculated at the PBE level.

For the uncorrected energy, the calculation gives -5.29 eV/atom. As for the energy relative to the lowest polymorph listed for this composition: 0.484 eV per atom.

The space group is P4/mmm (No. 123) and the conventional cell measures 4.657, 4.657 and 4.754 Å, with angles of 90.00, 90.00 and 90.00 degrees. The asymmetric unit holds Ac at (0.000, 0.000, 0.000), Sb at (0.000, 0.500, 0.500) and Rh at (0.500, 0.500, 0.000).


Below is a relaxed AcSb3Rh3 crystal, with properties calculated at the PBE level.

For the uncorrected energy, the calculation gives -5.89 eV/atom. As for the energy relative to the lowest polymorph listed for this composition: 0.000 eV per atom.

The space group is R-3 (No. 148, hexagonal axes) and the conventional cell measures 7.7007, 7.7007 and 21.2696 Å, with angles of 90.00, 90.00 and 120.00 degrees. The asymmetric unit holds Ac at (0.0000, 0.0000, 0.1640), Sb at (0.0040, 0.6381, 0.3872) and Rh at (0.0034, 0.7021, 0.5958).


Below is a relaxed AcSb2Rh3 crystal, with properties calculated at the PBE level.

For the uncorrected energy, the calculation gives -6.46 eV/atom. As for the energy relative to the lowest polymorph listed for this composition: 0.000 eV per atom.

The space group is C2/m (No. 12) and the conventional cell measures 17.524, 4.300 and 10.511 Å, with angles of 90.00, 106.38 and 90.00 degrees. The asymmetric unit holds Ac at (0.000, 0.000, 0.000), Ac at (0.161, 0.000, 0.704), Sb at (0.034, 0.500, 0.772), Sb at (0.140, 0.500, 0.452), Sb at (0.194, 0.000, 0.124), Rh at (0.000, 0.500, 0.500), Rh at (0.048, 0.000, 0.335), Rh at (0.123, 0.500, 0.201), Rh at (0.176, 0.500, 0.958) and Rh at (0.217, 0.000, 0.390).


Below is a relaxed Ac4SbRh crystal, with properties calculated at the PBE level.

For the uncorrected energy, the calculation gives -5.20 eV/atom.

The space group is P-1 (No. 2) and the conventional cell measures 7.435, 7.889 and 9.081 Å, with angles of 73.96, 65.88 and 89.99 degrees. The asymmetric unit holds Ac at (0.020, 0.464, 0.309), Ac at (0.172, 0.964, 0.309), Ac at (0.272, 0.849, 0.828), Ac at (0.399, 0.350, 0.828), Sb at (0.320, 0.250, 0.500), Rh at (0.000, 0.500, 0.000) and Rh at (0.500, 0.000, 0.000).


Below is a relaxed AcSb2Rh5 crystal, with properties calculated at the PBE level.

For the uncorrected energy, the calculation gives -6.64 eV/atom.

The space group is Immm (No. 71) and the conventional cell measures 4.067, 7.234 and 10.590 Å, with angles of 90.00, 90.00 and 90.00 degrees. The asymmetric unit holds Ac at (0.000, 0.000, 0.000), Sb at (0.000, 0.500, 0.240), Rh at (0.000, 0.194, 0.363) and Rh at (0.000, 0.500, 0.000).


Below is a relaxed Ac3SbRh crystal, with properties calculated at the PBE level.

For the uncorrected energy, the calculation gives -5.48 eV/atom. As for the energy relative to the lowest polymorph listed for this composition: 0.000 eV per atom.

The space group is P2_1/m (No. 11) and the conventional cell measures 8.682, 4.490 and 9.385 Å, with angles of 90.00, 95.38 and 90.00 degrees. The asymmetric unit holds Ac at (0.078, 0.250, 0.324), Ac at (0.272, 0.250, 0.948), Ac at (0.370, 0.750, 0.607), Sb at (0.376, 0.750, 0.211) and Rh at (0.151, 0.250, 0.638).


Below is a relaxed Ac2Sb3Rh2 crystal, with properties calculated at the PBE level.

For the uncorrected energy, the calculation gives -5.83 eV/atom. As for the energy relative to the lowest polymorph listed for this composition: 0.000 eV per atom.

The space group is Cmcm (No. 63) and the conventional cell measures 4.697, 20.957 and 7.475 Å, with angles of 90.00, 90.00 and 90.00 degrees. The asymmetric unit holds Ac at (0.000, 0.041, 0.250), Ac at (0.000, 0.165, 0.750), Sb at (0.000, 0.216, 0.250), Sb at (0.000, 0.422, 0.039) and Rh at (0.000, 0.295, 0.547).


Below is a relaxed Ac2SbRh crystal, with properties calculated at the PBE level.

For the uncorrected energy, the calculation gives -5.63 eV/atom. As for the energy relative to the lowest polymorph listed for this composition: 0.131 eV per atom.

The space group is P4/mmm (No. 123) and the conventional cell measures 3.820, 3.820 and 8.159 Å, with angles of 90.00, 90.00 and 90.00 degrees. The asymmetric unit holds Ac at (0.000, 0.000, 0.220), Sb at (0.500, 0.500, 0.500) and Rh at (0.500, 0.500, 0.000).


Below is a relaxed Ac2Sb7Rh12 crystal, with properties calculated at the PBE level.

For the uncorrected energy, the calculation gives -6.55 eV/atom.

The space group is P-3 (No. 147) and the conventional cell measures 10.5963, 10.5963 and 4.1868 Å, with angles of 90.00, 90.00 and 120.00 degrees. The asymmetric unit holds Ac at (0.3333, 0.6667, 0.2464), Sb at (0.0000, 0.0000, 0.5000), Sb at (0.1067, 0.7095, 0.7464), Rh at (0.0628, 0.4415, 0.7509) and Rh at (0.1217, 0.2624, 0.2430).


Below is a relaxed Ac3SbRh crystal, with properties calculated at the PBE level.

For the uncorrected energy, the calculation gives -5.34 eV/atom. As for the energy relative to the lowest polymorph listed for this composition: 0.144 eV per atom.

The space group is Pm-3m (No. 221) and the conventional cell measures 5.715, 5.715 and 5.715 Å, with angles of 90.00, 90.00 and 90.00 degrees. The asymmetric unit holds Ac at (0.000, 0.000, 0.500), Sb at (0.500, 0.500, 0.500) and Rh at (0.000, 0.000, 0.000).


Below is a relaxed Ac2SbRh crystal, with properties calculated at the PBE level.

For the uncorrected energy, the calculation gives -5.76 eV/atom. As for the energy relative to the lowest polymorph listed for this composition: 0.000 eV per atom.

The space group is P2_1/m (No. 11) and the conventional cell measures 6.598, 4.472 and 9.131 Å, with angles of 90.00, 110.83 and 90.00 degrees. The asymmetric unit holds Ac at (0.176, 0.250, 0.399), Ac at (0.267, 0.750, 0.048), Sb at (0.370, 0.750, 0.705) and Rh at (0.120, 0.250, 0.796).


Number 1: DOS(E_F) 36.64 states/eV/cell, formation energy without anion corrections -0.344 eV per atom. Number 2: DOS(E_F) 6.17 states/eV/cell, formation energy without anion corrections -0.807 eV per atom. Number 3: DOS(E_F) 19.04 states/eV/cell, formation energy without anion corrections -0.724 eV per atom. Number 4: DOS(E_F) 11.20 states/eV/cell, formation energy without anion corrections -0.696 eV per atom. Number 5: DOS(E_F) 17.62 states/eV/cell, formation energy without anion corrections -0.797 eV per atom. Number 6: DOS(E_F) 43.31 states/eV/cell, formation energy without anion corrections -0.669 eV per atom. Number 7: DOS(E_F) 5.33 states/eV/cell, formation energy without anion corrections -0.632 eV per atom. Number 8: DOS(E_F) 9.88 states/eV/cell, formation energy without anion corrections -0.718 eV per atom. Number 9: DOS(E_F) 8.64 states/eV/cell, formation energy without anion corrections -0.163 eV per atom. Number 10: DOS(E_F) 3.38 states/eV/cell, formation energy without anion corrections -0.360 eV per atom. Number 11: DOS(E_F) 27.20 states/eV/cell, formation energy without anion corrections -0.381 eV per atom. Number 12: DOS(E_F) 17.92 states/eV/cell, formation energy without anion corrections -0.722 eV per atom. Number 13: DOS(E_F) 11.76 states/eV/cell, formation energy without anion corrections -0.545 eV per atom. Number 14: DOS(E_F) 12.79 states/eV/cell, formation energy without anion corrections -0.499 eV per atom. Number 15: DOS(E_F) 9.34 states/eV/cell, formation energy without anion corrections -0.723 eV per atom. Number 16: DOS(E_F) 11.46 states/eV/cell, formation energy without anion corrections -0.787 eV per atom. Number 17: DOS(E_F) 0.87 states/eV/cell, formation energy without anion corrections -0.707 eV per atom. Number 18: DOS(E_F) 16.97 states/eV/cell, formation energy without anion corrections -0.585 eV per atom. Number 19: DOS(E_F) 4.29 states/eV/cell, formation energy without anion corrections -0.579 eV per atom. Number 20: DOS(E_F) 3.56 states/eV/cell, formation energy without anion corrections -0.838 eV per atom.